This record from Alexandria describes a geometry-optimized CrSiSe2Br structure. The functional is PBE.

Properties
Relative energy among the computed polymorphs = 0.000 eV/atom
ΔE_f (raw) = 0.3169 eV per atom

a b c (Å): 4.913 4.913 4.913
angles (deg): 90.00 90.00 90.00
Space group P4/mmm (No. 123)
Asymmetric unit:
Cr 0.000 0.000 0.000 [1 per cell]
Si 0.500 0.500 0.500 [1 per cell]
Se 0.000 0.500 0.000 [2 per cell]
Br 0.000 0.000 0.500 [1 per cell]

***

This record from Alexandria describes a geometry-optimized TaCr2SeBr structure. The functional is PBE.

Properties
ΔE_f (raw) = 1.1523 eV per atom

a b c (Å): 5.083 5.083 4.783
angles (deg): 90.00 90.00 90.00
Space group P4/mmm (No. 123)
Asymmetric unit:
Ta 0.000 0.000 0.000 [1 per cell]
Cr 0.000 0.500 0.000 [2 per cell]
Se 0.500 0.500 0.500 [1 per cell]
Br 0.000 0.000 0.500 [1 per cell]

***

This record from Alexandria describes a geometry-optimized CrTcSeBr2 structure. The functional is PBE.

Properties
Relative energy among the computed polymorphs = 0.000 eV/atom
ΔE_f (raw) = 0.4729 eV per atom

a b c (Å): 5.277 5.277 4.690
angles (deg): 90.00 90.00 90.00
Space group P4/mmm (No. 123)
Asymmetric unit:
Cr 0.000 0.000 0.000 [1 per cell]
Tc 0.500 0.500 0.500 [1 per cell]
Se 0.500 0.500 0.000 [1 per cell]
Br 0.000 0.500 0.500 [2 per cell]

***

This record from Alexandria describes a geometry-optimized CrTc2SeBr structure. The functional is PBE.

Properties
ΔE_f (raw) = 1.9141 eV per atom

a b c (Å): 4.523 4.523 5.497
angles (deg): 90.00 90.00 90.00
Space group P4/mmm (No. 123)
Asymmetric unit:
Cr 0.000 0.000 0.000 [1 per cell]
Tc 0.000 0.500 0.500 [2 per cell]
Se 0.500 0.500 0.500 [1 per cell]
Br 0.500 0.500 0.000 [1 per cell]

***

This record from Alexandria describes a geometry-optimized Cr2TeSeBr structure. The functional is PBE.

Properties
ΔE_f (raw) = 0.6608 eV per atom

a b c (Å): 5.389 5.389 5.320
angles (deg): 90.00 90.00 90.00
Space group P4/mmm (No. 123)
Asymmetric unit:
Cr 0.000 0.500 0.000 [2 per cell]
Te 0.000 0.000 0.000 [1 per cell]
Se 0.000 0.000 0.500 [1 per cell]
Br 0.500 0.500 0.500 [1 per cell]

***

This record from Alexandria describes a geometry-optimized CrTeSeBr2 structure. The functional is PBE.

Properties
Relative energy among the computed polymorphs = 0.000 eV/atom
ΔE_f (raw) = 0.2595 eV per atom

a b c (Å): 4.891 4.891 4.905
angles (deg): 90.00 90.00 90.00
Space group P4/mmm (No. 123)
Asymmetric unit:
Cr 0.000 0.000 0.000 [1 per cell]
Te 0.500 0.500 0.500 [1 per cell]
Se 0.000 0.000 0.500 [1 per cell]
Br 0.000 0.500 0.000 [2 per cell]

***

This record from Alexandria describes a geometry-optimized Ti2CrSeBr structure. The functional is PBE.

Properties
ΔE_f (raw) = 0.6682 eV per atom

a b c (Å): 4.674 4.674 6.278
angles (deg): 90.00 90.00 90.00
Space group P4/mmm (No. 123)
Asymmetric unit:
Ti 0.000 0.500 0.000 [2 per cell]
Cr 0.000 0.000 0.500 [1 per cell]
Se 0.500 0.500 0.000 [1 per cell]
Br 0.500 0.500 0.500 [1 per cell]

***

This record from Alexandria describes a geometry-optimized TlCrSeBr2 structure. The functional is PBE.

Properties
Relative energy among the computed polymorphs = 0.849 eV/atom
ΔE_f (raw) = 0.3659 eV per atom

a b c (Å): 5.620 5.620 5.429
angles (deg): 90.00 90.00 90.00
Space group P4/mmm (No. 123)
Asymmetric unit:
Tl 0.000 0.000 0.000 [1 per cell]
Cr 0.500 0.500 0.500 [1 per cell]
Se 0.000 0.000 0.500 [1 per cell]
Br 0.000 0.500 0.000 [2 per cell]

***

This record from Alexandria describes a geometry-optimized TlCrSeBr2 structure. The functional is PBE.

Properties
Relative energy among the computed polymorphs = 0.000 eV/atom
ΔE_f (raw) = -0.4831 eV per atom

a b c (Å): 5.356 5.356 4.826
angles (deg): 90.00 90.00 90.00
Space group P4/mmm (No. 123)
Asymmetric unit:
Tl 0.000 0.000 0.000 [1 per cell]
Cr 0.500 0.500 0.500 [1 per cell]
Se 0.500 0.500 0.000 [1 per cell]
Br 0.000 0.500 0.500 [2 per cell]

***

This record from Alexandria describes a geometry-optimized TlCrSe2Br structure. The functional is PBE.

Properties
Relative energy among the computed polymorphs = 0.000 eV/atom
ΔE_f (raw) = -0.2833 eV per atom

a b c (Å): 4.873 4.873 5.510
angles (deg): 90.00 90.00 90.00
Space group P4/mmm (No. 123)
Asymmetric unit:
Tl 0.000 0.000 0.000 [1 per cell]
Cr 0.500 0.500 0.500 [1 per cell]
Se 0.000 0.500 0.500 [2 per cell]
Br 0.500 0.500 0.000 [1 per cell]

***

This record from Alexandria describes a geometry-optimized VCrSe2Br structure. The functional is PBE.

Properties
Relative energy among the computed polymorphs = 0.000 eV/atom
ΔE_f (raw) = 0.1064 eV per atom

a b c (Å): 4.840 4.840 5.203
angles (deg): 90.00 90.00 90.00
Space group P4/mmm (No. 123)
Asymmetric unit:
V 0.000 0.000 0.000 [1 per cell]
Cr 0.500 0.500 0.500 [1 per cell]
Se 0.000 0.500 0.000 [2 per cell]
Br 0.000 0.000 0.500 [1 per cell]

***

This record from Alexandria describes a geometry-optimized CrWSeBr2 structure. The functional is PBE.

Properties
Relative energy among the computed polymorphs = 0.327 eV/atom
ΔE_f (raw) = 0.9484 eV per atom

a b c (Å): 4.919 4.919 5.181
angles (deg): 90.00 90.00 90.00
Space group P4/mmm (No. 123)
Asymmetric unit:
Cr 0.000 0.000 0.000 [1 per cell]
W 0.500 0.500 0.500 [1 per cell]
Se 0.000 0.000 0.500 [1 per cell]
Br 0.000 0.500 0.000 [2 per cell]

***

This record from Alexandria describes a geometry-optimized CrWSeBr2 structure. The functional is PBE.

Properties
Relative energy among the computed polymorphs = 0.000 eV/atom
ΔE_f (raw) = 0.6217 eV per atom

a b c (Å): 5.272 5.272 4.862
angles (deg): 90.00 90.00 90.00
Space group P4/mmm (No. 123)
Asymmetric unit:
Cr 0.000 0.000 0.000 [1 per cell]
W 0.500 0.500 0.500 [1 per cell]
Se 0.500 0.500 0.000 [1 per cell]
Br 0.000 0.500 0.500 [2 per cell]

***

This record from Alexandria describes a geometry-optimized YCrSe2Br structure. The functional is PBE.

Properties
Relative energy among the computed polymorphs = 0.261 eV/atom
ΔE_f (raw) = -0.3750 eV per atom

a b c (Å): 5.489 5.489 5.467
angles (deg): 90.00 90.00 90.00
Space group P4/mmm (No. 123)
Asymmetric unit:
Y 0.000 0.000 0.000 [1 per cell]
Cr 0.500 0.500 0.500 [1 per cell]
Se 0.000 0.500 0.000 [2 per cell]
Br 0.000 0.000 0.500 [1 per cell]

***

This record from Alexandria describes a geometry-optimized YCrSe2Br structure. The functional is PBE.

Properties
Relative energy among the computed polymorphs = 0.000 eV/atom
ΔE_f (raw) = -0.6357 eV per atom

a b c (Å): 4.991 4.991 4.859
angles (deg): 90.00 90.00 90.00
Space group P4/mmm (No. 123)
Asymmetric unit:
Y 0.000 0.000 0.000 [1 per cell]
Cr 0.500 0.500 0.500 [1 per cell]
Se 0.000 0.500 0.500 [2 per cell]
Br 0.500 0.500 0.000 [1 per cell]

***

Looking at total DFT energy (no corrections) for the records above, in order, we have -4.42, -6.10, -4.89, -5.19, -4.85, -3.66, -5.45, -3.40, -4.25, -4.41, -5.37, -4.93, -5.26, -5.32, -5.58 eV/atom.